Entry from the Alexandria database: a relaxed Tb2AgRh crystal (GGA-PBE).

a = 4.0385 Å, b = 4.0385 Å, c = 21.6201 Å
α = 90.00°, β = 90.00°, γ = 120.00°
Last column: nearest neighbours and their distance in Å.
Space group R3m (No. 160, hexagonal axes)
Inequivalent atoms, fractional coordinates:
Tb  0.0000  0.0000  0.0000 x3  3 Rh 2.76
Tb  0.0000  0.0000  0.1935 x3  3 Rh 2.80
Ag  0.0000  0.0000  0.7614 x3  6 Tb 3.10-3.16
Rh  0.0000  0.0000  0.5981 x3  6 Tb 2.76-2.80

Computed properties:
energy of formation: -474 meV/atom


Entry from the Alexandria database: a relaxed SmPuAsS crystal (GGA-PBE).

a = 4.1082 Å, b = 4.1082 Å, c = 19.8317 Å
α = 90.00°, β = 90.00°, γ = 120.00°
Last column: nearest neighbours and their distance in Å.
Space group R3m (No. 160, hexagonal axes)
Inequivalent atoms, fractional coordinates:
Sm  0.0000  0.0000  0.0000 x3  3 S 2.90, 3 As 2.93
Pu  0.0000  0.0000  0.5044 x3  3 S 2.84, 3 As 2.90
As  0.0000  0.0000  0.7537 x3  3 Pu 2.90, 3 Sm 2.93
S  0.0000  0.0000  0.2496 x3  3 Pu 2.84, 3 Sm 2.90

Computed properties:
uncorrected formation energy: -1613 meV per atom


Entry from the Alexandria database: a relaxed PrHo2Ag2 crystal (GGA-PBE).

a = 6.0434 Å, b = 6.6573 Å, c = 7.2095 Å
α = 74.36°, β = 72.54°, γ = 78.06°
Last column: nearest neighbours and their distance in Å.
Space group P-1 (No. 2)
Inequivalent atoms, fractional coordinates:
Pr  0.0778  0.2645  0.1674 x2  5 Ag 3.24-3.35, 6 Ho 3.47-3.60, 1 Pr 3.55
Ho  0.0757  0.2493  0.6664 x2  5 Ag 3.19-3.29, 2 Ho 3.48-3.56, 2 Pr 3.53-3.57
Ho  0.4990  0.5006  0.2543 x2  4 Ag 3.06-3.11
Ag  0.3423  0.8834  0.9458 x2  2 Ag 3.00-3.07, 4 Ho 3.09-3.21, 3 Pr 3.24-3.35
Ag  0.3598  0.8896  0.4351 x2  2 Ag 2.94-3.00, 4 Ho 3.06-3.25, 1 Pr 3.24

Computed properties:
energy of formation: -148 meV/atom
relative energy among the computed polymorphs: 0 meV/atom


What did we get for raw total energy? Answer: -64.1; -102.8; -40.8 eV for the cell shown, in the order shown.